VASP calculation (PBEsol) on RePOs3 after structural relaxation.

Unit cell a=4.650 b=4.650 c=4.650 alpha=90.00 beta=90.00 gamma=90.00
Element x y z (fractional)
Re (0.000, 0.000, 0.000)
P (0.500, 0.500, 0.500)
Os (0.000, 0.000, 0.500)
Os (0.000, 0.500, 0.000)
Os (0.500, 0.000, 0.000)

Computed properties:
DFT total energy	-8.4730	eV/atom
V	20.1	Å³ per atom
energy relative to the elements	2.6812	eV/atom
space-group type	No. 221